This record from the Alexandria database describes crystalline PmPr2SmTm2 at its relaxed geometry. The functional is PBE-GGA.

Output
The calculation puts the magnetization at 0.00 μB/cell. Its energy of formation from the pure elements is 75 meV per atom. Its density of states at the Fermi level is 1.477 states/eV per atom.

Unit cell a=5.696 b=10.282 c=6.886 alpha=90.00 beta=90.00 gamma=90.00
Positions (direct):
1 Pm 0.000 0.029 0.000
2 Pm 0.000 0.971 0.500
3 Pr 0.000 0.300 0.359
4 Pr 0.000 0.700 0.859
5 Pr 0.500 0.471 0.093
6 Pr 0.500 0.529 0.593
7 Sm 0.500 0.197 0.738
8 Sm 0.500 0.803 0.238
9 Tm 0.000 0.371 0.848
10 Tm 0.000 0.629 0.348
11 Tm 0.500 0.126 0.248
12 Tm 0.500 0.874 0.748



This record from the Alexandria database describes crystalline PmPr2Sm4Tm at its relaxed geometry. The functional is PBE-GGA.

Output
The calculation puts the magnetization at 0.01 μB/cell. Its energy of formation from the pure elements is 384 meV per atom. Its density of states at the Fermi level is 2.476 states/eV per atom.

Unit cell a=9.627 b=9.627 c=6.913 alpha=111.00 beta=111.00 gamma=88.34
Positions (direct):
1 Pm 0.000 0.500 0.000
2 Pm 0.500 0.000 0.500
3 Pr 0.000 0.000 0.000
4 Pr 0.000 0.000 0.500
5 Pr 0.000 0.500 0.500
6 Pr 0.500 0.000 0.000
7 Sm 0.255 0.257 0.012
8 Sm 0.257 0.255 0.512
9 Sm 0.258 0.742 0.001
10 Sm 0.258 0.742 0.499
11 Sm 0.742 0.258 0.501
12 Sm 0.742 0.258 0.999
13 Sm 0.743 0.745 0.488
14 Sm 0.745 0.743 0.988
15 Tm 0.500 0.500 0.000
16 Tm 0.500 0.500 0.500



This record from the Alexandria database describes crystalline PmPr3Sm6Tm2 at its relaxed geometry. The functional is PBE-GGA.

Output
The calculation puts the magnetization at 0.00 μB/cell. Its energy of formation from the pure elements is 19 meV per atom. Its density of states at the Fermi level is 1.429 states/eV per atom.

Unit cell a=6.287 b=6.287 c=12.035 alpha=95.00 beta=95.00 gamma=120.00
Positions (direct):
1 Pm 0.000 0.000 0.000
2 Pr 0.167 0.833 0.500
3 Pr 0.500 0.500 0.500
4 Pr 0.833 0.167 0.500
5 Sm 0.082 0.416 0.245
6 Sm 0.252 0.252 0.755
7 Sm 0.416 0.082 0.245
8 Sm 0.584 0.918 0.755
9 Sm 0.748 0.748 0.245
10 Sm 0.918 0.584 0.755
11 Tm 0.333 0.667 0.000
12 Tm 0.667 0.333 0.000



This record from the Alexandria database describes crystalline Pm6PrSm3Tm2 at its relaxed geometry. The functional is PBE-GGA.

Output
The calculation puts the magnetization at 0.00 μB/cell. Its energy of formation from the pure elements is 16 meV per atom. Its density of states at the Fermi level is 1.345 states/eV per atom.

Unit cell a=6.278 b=6.278 c=12.000 alpha=95.01 beta=95.01 gamma=119.99
Positions (direct):
1 Pm 0.082 0.417 0.752
2 Pm 0.249 0.249 0.248
3 Pm 0.417 0.082 0.752
4 Pm 0.583 0.918 0.248
5 Pm 0.751 0.751 0.752
6 Pm 0.918 0.583 0.248
7 Pr 0.500 0.500 0.000
8 Sm 0.000 0.000 0.500
9 Sm 0.333 0.667 0.500
10 Sm 0.667 0.333 0.500
11 Tm 0.167 0.833 0.000
12 Tm 0.833 0.167 0.000



This record from the Alexandria database describes crystalline PmPrSm2Tm2 at its relaxed geometry. The functional is PBE-GGA.

Output
The calculation puts the magnetization at 0.00 μB/cell. Its energy of formation from the pure elements is 269 meV per atom. Its density of states at the Fermi level is 1.656 states/eV per atom.

Unit cell a=6.549 b=18.198 c=3.421 alpha=90.00 beta=90.00 gamma=90.00
Positions (direct):
1 Pm 0.000 0.000 0.000
2 Pm 0.500 0.500 0.500
3 Pr 0.000 0.500 0.000
4 Pr 0.500 0.000 0.500
5 Sm 0.218 0.310 0.000
6 Sm 0.282 0.810 0.500
7 Sm 0.718 0.190 0.500
8 Sm 0.782 0.690 0.000
9 Tm 0.217 0.147 0.500
10 Tm 0.283 0.647 0.000
11 Tm 0.717 0.353 0.000
12 Tm 0.783 0.853 0.500



This record from the Alexandria database describes crystalline PmPrSm5Y2 at its relaxed geometry. The functional is PBE-GGA.

Output
The calculation puts the magnetization at 0.00 μB/cell. Its energy of formation from the pure elements is 146 meV per atom. Its density of states at the Fermi level is 1.595 states/eV per atom.

Unit cell a=10.539 b=10.539 c=10.695 alpha=90.00 beta=90.00 gamma=148.51
Positions (direct):
1 Pm 0.203 0.797 0.500
2 Pm 0.797 0.203 0.000
3 Pr 0.415 0.585 0.941
4 Pr 0.585 0.415 0.441
5 Sm 0.018 0.982 0.515
6 Sm 0.282 0.718 0.799
7 Sm 0.297 0.703 0.195
8 Sm 0.392 0.608 0.515
9 Sm 0.478 0.522 0.229
10 Sm 0.522 0.478 0.729
11 Sm 0.608 0.392 0.015
12 Sm 0.703 0.297 0.695
13 Sm 0.718 0.282 0.299
14 Sm 0.982 0.018 0.015
15 Y 0.112 0.888 0.222
16 Y 0.117 0.883 0.814
17 Y 0.883 0.117 0.314
18 Y 0.888 0.112 0.722



This record from the Alexandria database describes crystalline PmPrSmY3 at its relaxed geometry. The functional is PBE-GGA.

Output
The calculation puts the magnetization at 0.00 μB/cell. Its energy of formation from the pure elements is 19 meV per atom. Its density of states at the Fermi level is 1.506 states/eV per atom.

Unit cell a=5.116 b=10.238 c=8.090 alpha=90.00 beta=108.33 gamma=90.00
Positions (direct):
1 Pm 0.000 0.250 0.000
2 Pm 0.000 0.750 0.000
3 Pr 0.500 0.000 0.000
4 Pr 0.500 0.500 0.000
5 Sm 0.333 0.250 0.665
6 Sm 0.667 0.750 0.335
7 Y 0.168 0.000 0.335
8 Y 0.168 0.500 0.335
9 Y 0.333 0.750 0.666
10 Y 0.667 0.250 0.334
11 Y 0.832 0.000 0.665
12 Y 0.832 0.500 0.665



This record from the Alexandria database describes crystalline PmPr2SmY at its relaxed geometry. The functional is PBE-GGA.

Output
The calculation puts the magnetization at 0.00 μB/cell. Its energy of formation from the pure elements is 241 meV per atom. Its density of states at the Fermi level is 1.336 states/eV per atom.

Unit cell a=8.159 b=6.852 c=6.332 alpha=90.00 beta=90.12 gamma=90.00
Positions (direct):
1 Pm 0.000 0.083 0.250
2 Pm 0.000 0.917 0.750
3 Pr 0.303 0.196 0.749
4 Pr 0.303 0.804 0.249
5 Pr 0.697 0.196 0.751
6 Pr 0.697 0.804 0.251
7 Sm 0.000 0.500 0.000
8 Sm 0.000 0.500 0.500
9 Y 0.500 0.340 0.250
10 Y 0.500 0.660 0.750



This record from the Alexandria database describes crystalline PmPr2Sm2Y2 at its relaxed geometry. The functional is PBE-GGA.

Output
The calculation puts the magnetization at 0.00 μB/cell. Its energy of formation from the pure elements is 14 meV per atom. Its density of states at the Fermi level is 1.388 states/eV per atom.

Unit cell a=6.297 b=6.297 c=8.157 alpha=97.32 beta=97.32 gamma=48.27
Positions (direct):
1 Pm 0.000 0.000 0.000
2 Pr 0.429 0.429 0.284
3 Pr 0.571 0.571 0.716
4 Sm 0.143 0.143 0.429
5 Sm 0.857 0.857 0.571
6 Y 0.286 0.286 0.857
7 Y 0.714 0.714 0.143



This record from the Alexandria database describes crystalline Pm2Pr5SmY at its relaxed geometry. The functional is PBE-GGA.

Output
The calculation puts the magnetization at 0.00 μB/cell. Its energy of formation from the pure elements is 275 meV per atom. Its density of states at the Fermi level is 1.741 states/eV per atom.

Unit cell a=10.283 b=10.283 c=10.283 alpha=128.85 beta=128.85 gamma=75.25
Positions (direct):
1 Pm 0.118 0.618 0.736
2 Pm 0.382 0.118 0.500
3 Pm 0.618 0.882 0.500
4 Pm 0.882 0.382 0.264
5 Pr 0.000 0.000 0.000
6 Pr 0.072 0.147 0.500
7 Pr 0.147 0.647 0.074
8 Pr 0.353 0.428 0.500
9 Pr 0.428 0.928 0.074
10 Pr 0.500 0.500 0.000
11 Pr 0.572 0.072 0.926
12 Pr 0.647 0.572 0.500
13 Pr 0.853 0.353 0.926
14 Pr 0.928 0.853 0.500
15 Sm 0.250 0.250 0.000
16 Sm 0.750 0.750 0.000
17 Y 0.250 0.750 0.500
18 Y 0.750 0.250 0.500



This record from the Alexandria database describes crystalline PmPr2Sm6Y3 at its relaxed geometry. The functional is PBE-GGA.

Output
The calculation puts the magnetization at 0.00 μB/cell. Its energy of formation from the pure elements is 15 meV per atom. Its density of states at the Fermi level is 1.426 states/eV per atom.

Unit cell a=6.296 b=6.296 c=12.027 alpha=95.00 beta=95.00 gamma=120.00
Positions (direct):
1 Pm 0.000 0.000 0.000
2 Pr 0.333 0.667 0.000
3 Pr 0.667 0.333 0.000
4 Sm 0.085 0.417 0.253
5 Sm 0.248 0.248 0.747
6 Sm 0.417 0.085 0.253
7 Sm 0.583 0.915 0.747
8 Sm 0.752 0.752 0.253
9 Sm 0.915 0.583 0.747
10 Y 0.167 0.833 0.500
11 Y 0.500 0.500 0.500
12 Y 0.833 0.167 0.500



This record from the Alexandria database describes crystalline Pm6Pr2SmY at its relaxed geometry. The functional is PBE-GGA.

Output
The calculation puts the magnetization at 0.00 μB/cell. Its energy of formation from the pure elements is 110 meV per atom. Its density of states at the Fermi level is 1.474 states/eV per atom.

Unit cell a=8.980 b=8.980 c=9.931 alpha=94.51 beta=94.51 gamma=118.32
Positions (direct):
1 Pm 0.019 0.574 0.187
2 Pm 0.122 0.748 0.555
3 Pm 0.252 0.878 0.945
4 Pm 0.293 0.503 0.380
5 Pm 0.426 0.981 0.313
6 Pm 0.497 0.707 0.120
7 Pm 0.503 0.293 0.880
8 Pm 0.574 0.019 0.687
9 Pm 0.707 0.497 0.620
10 Pm 0.748 0.122 0.055
11 Pm 0.878 0.252 0.445
12 Pm 0.981 0.426 0.813
13 Pr 0.195 0.296 0.041
14 Pr 0.296 0.195 0.541
15 Pr 0.704 0.805 0.459
16 Pr 0.805 0.704 0.959
17 Sm 0.018 0.982 0.250
18 Sm 0.982 0.018 0.750
19 Y 0.407 0.593 0.750
20 Y 0.593 0.407 0.250



This record from the Alexandria database describes crystalline PmPr3Sm2Y6 at its relaxed geometry. The functional is PBE-GGA.

Output
The calculation puts the magnetization at 0.00 μB/cell. Its energy of formation from the pure elements is 10 meV per atom. Its density of states at the Fermi level is 1.209 states/eV per atom.

Unit cell a=6.291 b=6.291 c=11.899 alpha=95.04 beta=95.04 gamma=119.99
Positions (direct):
1 Pm 0.000 0.000 0.000
2 Pr 0.167 0.833 0.500
3 Pr 0.500 0.500 0.500
4 Pr 0.833 0.167 0.500
5 Sm 0.333 0.667 0.000
6 Sm 0.667 0.333 0.000
7 Y 0.083 0.416 0.248
8 Y 0.251 0.251 0.752
9 Y 0.416 0.083 0.248
10 Y 0.584 0.917 0.752
11 Y 0.749 0.749 0.248
12 Y 0.917 0.584 0.752



This record from the Alexandria database describes crystalline Pm2PrSm2Y4 at its relaxed geometry. The functional is PBE-GGA.

Output
The calculation puts the magnetization at 0.00 μB/cell. Its energy of formation from the pure elements is -3 meV per atom. Its density of states at the Fermi level is 1.385 states/eV per atom.

Unit cell a=9.642 b=9.642 c=9.700 alpha=115.24 beta=115.24 gamma=21.82
Positions (direct):
1 Pm 0.167 0.167 0.001
2 Pm 0.833 0.833 0.999
3 Pr 0.500 0.500 0.000
4 Sm 0.352 0.352 0.335
5 Sm 0.648 0.648 0.665
6 Y 0.020 0.020 0.336
7 Y 0.314 0.314 0.664
8 Y 0.686 0.686 0.336
9 Y 0.980 0.980 0.664



This record from the Alexandria database describes crystalline Pm3Pr6Sm2Y at its relaxed geometry. The functional is PBE-GGA.

Output
The calculation puts the magnetization at 0.00 μB/cell. Its energy of formation from the pure elements is 11 meV per atom. Its density of states at the Fermi level is 1.424 states/eV per atom.

Unit cell a=6.378 b=6.378 c=12.132 alpha=95.03 beta=95.03 gamma=120.00
Positions (direct):
1 Pm 0.000 0.000 0.000
2 Pm 0.333 0.667 0.000
3 Pm 0.667 0.333 0.000
4 Pr 0.083 0.417 0.251
5 Pr 0.250 0.250 0.749
6 Pr 0.417 0.083 0.251
7 Pr 0.583 0.917 0.749
8 Pr 0.750 0.750 0.251
9 Pr 0.917 0.583 0.749
10 Sm 0.167 0.833 0.500
11 Sm 0.833 0.167 0.500
12 Y 0.500 0.500 0.500



This record from the Alexandria database describes crystalline Pm2Pr6SmY3 at its relaxed geometry. The functional is PBE-GGA.

Output
The calculation puts the magnetization at 0.00 μB/cell. Its energy of formation from the pure elements is 9 meV per atom. Its density of states at the Fermi level is 1.280 states/eV per atom.

Unit cell a=6.363 b=6.363 c=12.042 alpha=95.04 beta=95.04 gamma=120.02
Positions (direct):
1 Pm 0.167 0.833 0.000
2 Pm 0.833 0.167 0.000
3 Pr 0.083 0.416 0.748
4 Pr 0.251 0.251 0.252
5 Pr 0.416 0.083 0.748
6 Pr 0.584 0.917 0.252
7 Pr 0.749 0.749 0.748
8 Pr 0.917 0.584 0.252
9 Sm 0.500 0.500 0.000
10 Y 0.000 0.000 0.500
11 Y 0.333 0.667 0.500
12 Y 0.667 0.333 0.500



This record from the Alexandria database describes crystalline PmPr3Sm6Y2 at its relaxed geometry. The functional is PBE-GGA.

Output
The calculation puts the magnetization at 0.00 μB/cell. Its energy of formation from the pure elements is 15 meV per atom. Its density of states at the Fermi level is 1.463 states/eV per atom.

Unit cell a=6.315 b=6.315 c=12.090 alpha=95.00 beta=95.00 gamma=120.00
Positions (direct):
1 Pm 0.000 0.000 0.000
2 Pr 0.167 0.833 0.500
3 Pr 0.500 0.500 0.500
4 Pr 0.833 0.167 0.500
5 Sm 0.082 0.416 0.247
6 Sm 0.251 0.251 0.753
7 Sm 0.416 0.082 0.247
8 Sm 0.584 0.918 0.753
9 Sm 0.749 0.749 0.247
10 Sm 0.918 0.584 0.753
11 Y 0.333 0.667 0.000
12 Y 0.667 0.333 0.000



This record from the Alexandria database describes crystalline Pm2PrSmY2 at its relaxed geometry. The functional is PBE-GGA.

Output
The calculation puts the magnetization at 0.00 μB/cell. Its energy of formation from the pure elements is 271 meV per atom. Its density of states at the Fermi level is 1.838 states/eV per atom.

Unit cell a=6.682 b=18.207 c=3.426 alpha=90.00 beta=90.00 gamma=90.00
Positions (direct):
1 Pm 0.225 0.184 0.000
2 Pm 0.275 0.684 0.500
3 Pm 0.725 0.316 0.500
4 Pm 0.775 0.816 0.000
5 Pr 0.000 0.000 0.000
6 Pr 0.500 0.500 0.500
7 Sm 0.000 0.500 0.000
8 Sm 0.500 0.000 0.500
9 Y 0.222 0.351 0.500
10 Y 0.278 0.851 0.000
11 Y 0.722 0.149 0.000
12 Y 0.778 0.649 0.500



This record from the Alexandria database describes crystalline PmPr4Sm2Y2 at its relaxed geometry. The functional is PBE-GGA.

Output
The calculation puts the magnetization at 0.00 μB/cell. Its energy of formation from the pure elements is 16 meV per atom. Its density of states at the Fermi level is 1.583 states/eV per atom.

Unit cell a=8.191 b=8.191 c=8.163 alpha=107.51 beta=107.51 gamma=36.84
Positions (direct):
1 Pm 0.000 0.000 0.000
2 Pr 0.223 0.223 0.332
3 Pr 0.445 0.445 0.668
4 Pr 0.555 0.555 0.332
5 Pr 0.777 0.777 0.668
6 Sm 0.111 0.111 0.668
7 Sm 0.889 0.889 0.332
8 Y 0.333 0.333 0.001
9 Y 0.667 0.667 0.999



This record from the Alexandria database describes crystalline Pm2PrSm6Y at its relaxed geometry. The functional is PBE-GGA.

Output
The calculation puts the magnetization at 0.00 μB/cell. Its energy of formation from the pure elements is 111 meV per atom. Its density of states at the Fermi level is 1.443 states/eV per atom.

Unit cell a=8.956 b=8.956 c=9.830 alpha=94.16 beta=94.16 gamma=118.17
Positions (direct):
1 Pm 0.198 0.300 0.043
2 Pm 0.300 0.198 0.543
3 Pm 0.700 0.802 0.457
4 Pm 0.802 0.700 0.957
5 Pr 0.021 0.979 0.250
6 Pr 0.979 0.021 0.750
7 Sm 0.018 0.569 0.185
8 Sm 0.121 0.748 0.556
9 Sm 0.252 0.879 0.944
10 Sm 0.293 0.506 0.380
11 Sm 0.431 0.982 0.315
12 Sm 0.494 0.707 0.120
13 Sm 0.506 0.293 0.880
14 Sm 0.569 0.018 0.685
15 Sm 0.707 0.494 0.620
16 Sm 0.748 0.121 0.056
17 Sm 0.879 0.252 0.444
18 Sm 0.982 0.431 0.815
19 Y 0.408 0.592 0.750
20 Y 0.592 0.408 0.250